No. 1
Material: YGe6
Method: DFT, PBE
State: relaxed

Cell: 7.047 7.047 7.047 Å, 90.00 90.00 90.00°
Space group Im-3m (No. 229)
One atom of each set of equivalent atoms:
Y  0.000  0.000  0.000 x2
Ge  0.000  0.250  0.500 x12

Calculated values
Magnetic moment in Bohr magnetons per cell: 0.0
ΔH_f (0 K) in eV per formula unit: 1.89

No. 2
Material: Y3Ge2
Method: DFT, PBE
State: relaxed

Cell: 17.651 4.431 10.868 Å, 90.00 97.80 90.00°
Space group C2/m (No. 12)
One atom of each set of equivalent atoms:
Y  0.000  0.000  0.000 x2
Y  0.034  0.000  0.658 x4
Y  0.127  0.500  0.284 x4
Y  0.174  0.500  0.960 x4
Y  0.209  0.500  0.622 x4
Ge  0.032  0.500  0.817 x4
Ge  0.140  0.000  0.472 x4
Ge  0.174  0.000  0.130 x4

Calculated values
Magnetic moment in Bohr magnetons per cell: 0.0
ΔH_f (0 K) in eV per formula unit: -3.46

No. 3
Material: Y11Ge10
Method: DFT, PBE
State: relaxed

Cell: 10.952 10.952 16.490 Å, 90.00 90.00 90.00°
Space group I4/mmm (No. 139)
One atom of each set of equivalent atoms:
Y  0.000  0.000  0.160 x4
Y  0.000  0.252  0.310 x16
Y  0.000  0.324  0.102 x16
Y  0.177  0.177  0.500 x8
Ge  0.000  0.000  0.387 x4
Ge  0.000  0.360  0.500 x8
Ge  0.000  0.500  0.250 x4
Ge  0.120  0.120  0.000 x8
Ge  0.209  0.209  0.182 x16

Calculated values
Magnetic moment in Bohr magnetons per cell: 0.0
ΔH_f (0 K) in eV per formula unit: -18.38

Which formula does entry 3 have? Y11Ge10